Computed, not measured: a geometry-optimized Li2FeOs structure at the GGA-PBE level of DFT.

Unit cell a=9.2332 b=2.5179 c=4.5549 alpha=90.00 beta=97.76 gamma=90.00
Closest atoms and distances in Å follow each position.
Space group C2/m (No. 12)
One atom of each set of equivalent atoms:
Li1 0.2492 0.0000 0.2553 (multiplicity 4)  6 Li 2.52-2.65, 3 Os 2.69-2.74, 3 Fe 2.73-2.74
Fe1 0.0000 0.5000 0.0000 (multiplicity 2)  2 Fe 2.52, 4 Os 2.60, 6 Li 2.73-2.74
Os1 0.0000 0.0000 0.5000 (multiplicity 2)  2 Os 2.52, 4 Fe 2.60, 6 Li 2.69-2.74

Results
Formation energy: 0.165 eV per atom
E: -5.715 eV/atom
E above lowest polymorph: 0 meV per atom